Here is Al3SnF after structural relaxation from the Alexandria database. Energies are from GGA-PBE.

abc: 5.4279 5.4279 5.4279
angles: 90.00 90.00 90.00
Last column: nearest neighbours and their distance in Å.
Positions (direct):
Al  0.0000  0.0000  0.5000  2 Sn 2.71
Al  0.0000  0.5000  0.0000  2 Sn 2.71
Al  0.5000  0.0000  0.0000  2 Sn 2.71
Sn  0.0000  0.0000  0.0000  6 Al 2.71
F  0.5000  0.5000  0.5000  12 Al 3.84

Values from the calculation:
Energy relative to the elements, uncorrected: 0.512 eV/atom
Relative energy among the computed polymorphs: 759 meV/atom
Total DFT energy (no corrections): -2.91 eV/atom
M_tot: 0.00 μB per atom

***

Here is Y2CdHg9 after structural relaxation from the Alexandria database. Energies are from GGA-PBE.

abc: 4.7052 4.7052 13.1587
angles: 90.00 90.00 90.00
Last column: nearest neighbours and their distance in Å.
Positions (direct):
Y  0.0000  0.0000  0.1750  12 Hg 3.18-3.33
Y  0.0000  0.0000  0.8250  12 Hg 3.18-3.33
Cd  0.0000  0.0000  0.5000  12 Hg 3.18-3.33
Hg  0.0000  0.5000  0.0000  8 Hg 3.19-3.33, 4 Y 3.29
Hg  0.0000  0.5000  0.3372  2 Y 3.18, 8 Hg 3.18-3.33, 2 Cd 3.18
Hg  0.0000  0.5000  0.6628  2 Y 3.18, 8 Hg 3.18-3.33, 2 Cd 3.18
Hg  0.5000  0.0000  0.0000  8 Hg 3.19-3.33, 4 Y 3.29
Hg  0.5000  0.0000  0.3372  2 Y 3.18, 8 Hg 3.18-3.33, 2 Cd 3.18
Hg  0.5000  0.0000  0.6628  2 Y 3.18, 8 Hg 3.18-3.33, 2 Cd 3.18
Hg  0.5000  0.5000  0.1640  8 Hg 3.19-3.28, 4 Y 3.33
Hg  0.5000  0.5000  0.5000  8 Hg 3.18, 4 Cd 3.33
Hg  0.5000  0.5000  0.8360  8 Hg 3.19-3.28, 4 Y 3.33

Values from the calculation:
Energy relative to the elements: -256 kJ/mol of formula units
Total DFT energy (no corrections): -1.60 eV/atom
M_tot: 0.00 μB per atom

***

Here is MgSc6Bi after structural relaxation from the Alexandria database. Energies are from GGA-PBE.

abc: 8.7858 8.7858 8.7858
angles: 34.04 34.04 34.04
Last column: nearest neighbours and their distance in Å.
Positions (direct):
Mg  0.0000  0.0000  0.0000  8 Sc 2.92-3.10
Sc  0.1177  0.1177  0.1177  1 Mg 2.92, 4 Sc 3.04-3.06, 3 Bi 3.21
Sc  0.2413  0.2413  0.2413  8 Sc 3.04-3.27
Sc  0.3698  0.3698  0.3698  3 Mg 3.10, 4 Sc 3.19-3.27, 1 Bi 3.23
Sc  0.6302  0.6302  0.6302  3 Mg 3.10, 4 Sc 3.19-3.27, 1 Bi 3.23
Sc  0.7587  0.7587  0.7587  8 Sc 3.04-3.27
Sc  0.8823  0.8823  0.8823  1 Mg 2.92, 4 Sc 3.04-3.06, 3 Bi 3.21
Bi  0.5000  0.5000  0.5000  14 Sc 3.21-3.50

Values from the calculation:
Energy relative to the elements: -36 kJ/mol of formula units
Total DFT energy (no corrections): -5.48 eV/atom
M_tot: 0.19 μB per atom

***

Here is AcTlCdCl6 after structural relaxation from the Alexandria database. Energies are from GGA-PBE.

abc: 7.2749 7.2749 13.8106
angles: 90.00 90.00 120.00
Last column: nearest neighbours and their distance in Å.
Positions (direct):
Ac  0.3333  0.6667  0.2500  6 Cl 2.90
Ac  0.6667  0.3333  0.7500  6 Cl 2.90
Tl  0.0000  0.0000  0.0000  6 Cl 3.27
Tl  0.0000  0.0000  0.5000  6 Cl 3.27
Cd  0.3333  0.6667  0.7500  6 Cl 2.68
Cd  0.6667  0.3333  0.2500  6 Cl 2.68
Cl  0.0229  0.3776  0.6375  1 Cd 2.68, 1 Ac 2.90
Cl  0.0229  0.6454  0.8625  1 Cd 2.68, 1 Ac 2.90
Cl  0.3546  0.3776  0.8625  1 Cd 2.68, 1 Ac 2.90
Cl  0.3546  0.9771  0.6375  1 Cd 2.68, 1 Ac 2.90
Cl  0.3776  0.0229  0.1375  1 Cd 2.68, 1 Ac 2.90
Cl  0.3776  0.3546  0.3625  1 Cd 2.68, 1 Ac 2.90
Cl  0.6224  0.6454  0.6375  1 Cd 2.68, 1 Ac 2.90
Cl  0.6224  0.9771  0.8625  1 Cd 2.68, 1 Ac 2.90
Cl  0.6454  0.0229  0.3625  1 Cd 2.68, 1 Ac 2.90
Cl  0.6454  0.6224  0.1375  1 Cd 2.68, 1 Ac 2.90
Cl  0.9771  0.3546  0.1375  1 Cd 2.68, 1 Ac 2.90
Cl  0.9771  0.6224  0.3625  1 Cd 2.68, 1 Ac 2.90

Values from the calculation:
Energy relative to the elements, uncorrected: -1.659 eV/atom
Total DFT energy (no corrections): -3.71 eV/atom
M_tot: 0.00 μB per atom

***

Here is AcHo4Zn after structural relaxation from the Alexandria database. Energies are from GGA-PBE.

abc: 3.6301 3.6301 13.7778
angles: 90.00 90.00 90.00
Last column: nearest neighbours and their distance in Å.
Positions (direct):
Ac  0.0000  0.0000  0.0000  4 Ac 3.63, 8 Ho 3.73
Ho  0.0000  0.0000  0.3750  4 Zn 3.09, 1 Ho 3.44
Ho  0.0000  0.0000  0.6250  4 Zn 3.09, 1 Ho 3.44
Ho  0.5000  0.5000  0.1962  8 Ho 3.56-3.63, 4 Ac 3.73
Ho  0.5000  0.5000  0.8038  8 Ho 3.56-3.63, 4 Ac 3.73
Zn  0.5000  0.5000  0.5000  8 Ho 3.09

Values from the calculation:
Energy relative to the elements: -39 kJ/mol of formula units
Total DFT energy (no corrections): -4.02 eV/atom
M_tot: 0.00 μB per atom

***

Here is SrBe3Nb after structural relaxation from the Alexandria database. Energies are from GGA-PBE.

abc: 4.6936 4.6936 4.6936
angles: 90.00 90.00 90.00
Last column: nearest neighbours and their distance in Å.
Positions (direct):
Sr  0.0000  0.0000  0.0000  12 Be 3.32
Be  0.0000  0.5000  0.5000  2 Nb 2.35
Be  0.5000  0.0000  0.5000  2 Nb 2.35
Be  0.5000  0.5000  0.0000  2 Nb 2.35
Nb  0.5000  0.5000  0.5000  6 Be 2.35

Values from the calculation:
Energy relative to the elements: 428 kJ/mol of formula units
Relative energy among the computed polymorphs: 0 meV/atom
Total DFT energy (no corrections): -3.70 eV/atom
M_tot: 0.00 μB per atom

***

Here is AcSmDyEr2 after structural relaxation from the Alexandria database. Energies are from GGA-PBE.

abc: 7.2900 7.2900 7.3092
angles: 90.00 90.00 108.99
Last column: nearest neighbours and their distance in Å.
Positions (direct):
Ac  0.2431  0.7569  0.7500  1 Sm 3.35, 2 Dy 3.69
Ac  0.7569  0.2431  0.2500  1 Sm 3.35, 2 Dy 3.69
Sm  0.4748  0.5252  0.2500  4 Er 3.22, 1 Dy 3.23, 1 Ac 3.35
Sm  0.5252  0.4748  0.7500  4 Er 3.22, 1 Dy 3.23, 1 Ac 3.35
Dy  0.2027  0.7973  0.2500  1 Sm 3.23, 4 Er 3.42
Dy  0.7973  0.2027  0.7500  1 Sm 3.23, 4 Er 3.42
Er  0.1884  0.1884  0.0000  1 Er 3.19, 2 Sm 3.22, 2 Dy 3.42
Er  0.1884  0.1884  0.5000  1 Er 3.19, 2 Sm 3.22, 2 Dy 3.42
Er  0.8116  0.8116  0.0000  1 Er 3.19, 2 Sm 3.22, 2 Dy 3.42
Er  0.8116  0.8116  0.5000  1 Er 3.19, 2 Sm 3.22, 2 Dy 3.42

Values from the calculation:
Energy relative to the elements: 169 kJ/mol of formula units
Total DFT energy (no corrections): -4.16 eV/atom
M_tot: 0.00 μB per atom

***

Here is Nd2PuNi3Ge4 after structural relaxation from the Alexandria database. Energies are from GGA-PBE.

abc: 4.1894 4.1894 11.0506
angles: 90.00 90.00 90.00
Last column: nearest neighbours and their distance in Å.
Positions (direct):
Nd  0.0000  0.5000  0.2211  8 Ge 3.17-3.22, 4 Ni 3.21
Nd  0.5000  0.0000  0.7789  8 Ge 3.17-3.22, 4 Ni 3.21
Pu  0.0000  0.0000  0.5000  4 Ge 2.87, 4 Ni 2.96
Ni  0.0000  0.5000  0.8916  5 Ge 2.36-2.41
Ni  0.5000  0.0000  0.1084  5 Ge 2.36-2.41
Ni  0.5000  0.5000  0.5000  4 Ge 2.87, 4 Pu 2.96
Ge  0.0000  0.0000  0.0000  4 Ni 2.41
Ge  0.0000  0.5000  0.6777  1 Ni 2.36
Ge  0.5000  0.0000  0.3223  1 Ni 2.36
Ge  0.5000  0.5000  0.0000  4 Ni 2.41

Values from the calculation:
Energy relative to the elements: -507 kJ/mol of formula units
Total DFT energy (no corrections): -6.49 eV/atom
M_tot: 0.52 μB per atom

***

- Look up the total DFT energy (no corrections) of the second one.
  -1.60 eV/atom